# 1
The following is a DFT calculation (GGA-PBE) of an optimized crystal structure of CdSn4Pd2.

Output
Polymorph energy (0 for the lowest one) = 0.000 eV per atom

a b c (Å): 4.5243 4.5243 9.7176
angles (deg): 76.54 76.54 60.00
Element x y z (fractional)
Cd: 0.0000 0.0000 0.0000
Sn: 0.3931 0.3931 0.8207
Sn: 0.2006 0.2006 0.3983
Sn: 0.7994 0.7994 0.6017
Sn: 0.6069 0.6069 0.1793
Pd: 0.1007 0.1007 0.6980
Pd: 0.8993 0.8993 0.3020

=====

# 2
The following is a DFT calculation (GGA-PBE) of an optimized crystal structure of Cd3SnPd.

Output
Polymorph energy (0 for the lowest one) = 0.000 eV per atom

a b c (Å): 3.1299 7.8546 9.1778
angles (deg): 90.00 90.00 89.99
Element x y z (fractional)
Cd: 0.7499 0.2338 0.9929
Cd: 0.2501 0.7662 0.0071
Cd: 0.7499 0.2338 0.5071
Cd: 0.2501 0.7662 0.4929
Cd: 0.7501 0.9647 0.2500
Cd: 0.2499 0.0353 0.7500
Sn: 0.7498 0.5553 0.2500
Sn: 0.2502 0.4447 0.7500
Pd: 0.2499 0.2656 0.2500
Pd: 0.7501 0.7344 0.7500

=====

# 3
The following is a DFT calculation (GGA-PBE) of an optimized crystal structure of CdSn6Pd8.

a b c (Å): 6.7815 6.7815 6.7815
angles (deg): 82.20 82.20 82.20
Element x y z (fractional)
Cd: 0.0000 0.0000 0.0000
Sn: 0.7835 0.4131 0.7841
Sn: 0.4131 0.7841 0.7835
Sn: 0.7841 0.7835 0.4131
Sn: 0.2165 0.5869 0.2159
Sn: 0.5869 0.2159 0.2165
Sn: 0.2159 0.2165 0.5869
Pd: 0.7997 0.7997 0.7997
Pd: 0.2003 0.2003 0.2003
Pd: 0.5004 0.8361 0.1637
Pd: 0.8361 0.1637 0.5004
Pd: 0.1637 0.5004 0.8361
Pd: 0.4996 0.1639 0.8363
Pd: 0.1639 0.8363 0.4996
Pd: 0.8363 0.4996 0.1639

=====

# 4
The following is a DFT calculation (GGA-PBE) of an optimized crystal structure of CdSn2Pd.

a b c (Å): 4.2391 4.5541 4.5541
angles (deg): 90.00 90.00 90.00
Element x y z (fractional)
Sn: 0.0000 0.0000 0.5000
Sn: 0.0000 0.5000 0.0000
Pd: 0.5000 0.0000 0.0000
Cd: 0.5000 0.5000 0.5000

=====

Summary of DFT formation energy in eV/atom
-0.324 -0.151 -0.314 -0.067
(order as listed above)
Summary of DOS(E_F) in states/eV/atom
0.372 0.393 0.284 0.492
(order as listed above)